1.
This record from the Alexandria database describes a relaxed CuAsAu2 crystal. The functional is PBE.

Output
The value obtained for the formation enthalpy at 0 K is 0.095 eV/atom. The calculation puts the theoretical density at 12.6 g/cm³. The space group is Cm, No. 8. The calculation puts the total energy at -3.7298 eV per atom.

Geometry as POSCAR:
```
CuAsAu2
1.0
10.675 0.000 0.000
0.000 2.896 0.000
-1.070 0.000 4.554
Cu As Au
2 2 4
Direct
0.000 0.000 0.000 Cu
0.500 0.500 0.000 Cu
0.298 0.000 0.846 As
0.798 0.500 0.846 As
0.201 0.500 0.299 Au
0.465 0.000 0.482 Au
0.701 0.000 0.299 Au
0.965 0.500 0.482 Au
```



2.
This record from the Alexandria database describes a relaxed CuAs2Au crystal. The functional is PBE.

Output
As for the offset from the most stable computed form: 35 meV/atom. The value obtained for the formation enthalpy at 0 K is 0.147 eV/atom. The calculation puts the theoretical density at 7.7 g/cm³. The space group is Immm, No. 71. The calculation puts the total energy at -4.0215 eV per atom.

Geometry as POSCAR:
```
CuAs2Au
1.0
3.997 0.000 0.000
0.000 4.356 0.000
0.000 0.000 10.193
Cu As Au
2 4 2
Direct
0.000 0.000 0.000 Cu
0.500 0.500 0.500 Cu
0.000 0.500 0.361 As
0.000 0.500 0.639 As
0.500 0.000 0.139 As
0.500 0.000 0.861 As
0.000 0.000 0.500 Au
0.500 0.500 0.000 Au
```



3.
This record from the Alexandria database describes a relaxed CuAsAu2 crystal. The functional is PBE.

Output
The value obtained for the formation enthalpy at 0 K is 0.123 eV/atom. The calculation puts the theoretical density at 12.9 g/cm³. The space group is Imm2, No. 44. The calculation puts the total energy at -3.7017 eV per atom.

Geometry as POSCAR:
```
CuAsAu2
1.0
2.927 0.000 0.000
0.000 4.758 0.000
0.000 0.000 9.853
Cu As Au
2 2 4
Direct
0.000 0.000 0.000 Cu
0.500 0.500 0.500 Cu
0.000 0.500 0.710 As
0.500 0.000 0.210 As
0.000 0.000 0.492 Au
0.000 0.500 0.270 Au
0.500 0.000 0.770 Au
0.500 0.500 0.992 Au
```



4.
This record from the Alexandria database describes a relaxed Cu2AsAu crystal. The functional is PBE.

Output
The value obtained for the formation enthalpy at 0 K is 0.200 eV/atom. The calculation puts the theoretical density at 10.1 g/cm³. The space group is I-42d, No. 122. The calculation puts the total energy at -3.8303 eV per atom.

Geometry as POSCAR:
```
Cu2AsAu
1.0
6.998 0.000 0.000
0.000 6.998 0.000
0.000 0.000 5.349
Cu As Au
8 4 4
Direct
0.229 0.250 0.125 Cu
0.250 0.729 0.375 Cu
0.250 0.771 0.875 Cu
0.271 0.250 0.625 Cu
0.729 0.750 0.625 Cu
0.750 0.229 0.875 Cu
0.750 0.271 0.375 Cu
0.771 0.750 0.125 Cu
0.000 0.000 0.000 As
0.000 0.500 0.250 As
0.500 0.000 0.750 As
0.500 0.500 0.500 As
0.000 0.000 0.500 Au
0.000 0.500 0.750 Au
0.500 0.000 0.250 Au
0.500 0.500 0.000 Au
```



5.
This record from the Alexandria database describes a relaxed Cu2AsAu crystal. The functional is PBE.

Output
The value obtained for the formation enthalpy at 0 K is 0.114 eV/atom. The calculation puts the theoretical density at 10.6 g/cm³. The space group is R-3m, No. 166. The calculation puts the total energy at -3.9160 eV per atom.

Geometry as POSCAR:
```
Cu2AsAu
1.0
3.046 0.000 0.000
-1.523 2.638 0.000
0.000 0.000 23.388
Cu As Au
6 3 3
Direct
0.000 0.000 0.246 Cu
0.000 0.000 0.754 Cu
0.333 0.667 0.421 Cu
0.333 0.667 0.913 Cu
0.667 0.333 0.087 Cu
0.667 0.333 0.579 Cu
0.000 0.000 0.500 As
0.333 0.667 0.167 As
0.667 0.333 0.833 As
0.000 0.000 0.000 Au
0.333 0.667 0.667 Au
0.667 0.333 0.333 Au
```



6.
This record from the Alexandria database describes a relaxed Cu2AsAu crystal. The functional is PBE.

Output
The value obtained for the formation enthalpy at 0 K is 0.217 eV/atom. The calculation puts the theoretical density at 10.7 g/cm³. The space group is F-43m, No. 216. The calculation puts the total energy at -3.8132 eV per atom.

Geometry as POSCAR:
```
Cu2AsAu
1.0
6.283 0.000 0.000
0.000 6.283 0.000
0.000 0.000 6.283
Cu As Au
8 4 4
Direct
0.000 0.000 0.000 Cu
0.000 0.500 0.500 Cu
0.250 0.250 0.250 Cu
0.250 0.750 0.750 Cu
0.500 0.000 0.500 Cu
0.500 0.500 0.000 Cu
0.750 0.250 0.750 Cu
0.750 0.750 0.250 Cu
0.000 0.000 0.500 As
0.000 0.500 0.000 As
0.500 0.000 0.000 As
0.500 0.500 0.500 As
0.250 0.250 0.750 Au
0.250 0.750 0.250 Au
0.750 0.250 0.250 Au
0.750 0.750 0.750 Au
```



Question: Among the records above, which one has the lowest theoretical density?
Answer: CuAs2Au



Repeat the third record exactly.
This record from the Alexandria database describes a relaxed CuAsAu2 crystal. The functional is PBE.

Output
The value obtained for the formation enthalpy at 0 K is 0.123 eV/atom. The calculation puts the theoretical density at 12.9 g/cm³. The space group is Imm2, No. 44. The calculation puts the total energy at -3.7017 eV per atom.

Geometry as POSCAR:
```
CuAsAu2
1.0
2.927 0.000 0.000
0.000 4.758 0.000
0.000 0.000 9.853
Cu As Au
2 2 4
Direct
0.000 0.000 0.000 Cu
0.500 0.500 0.500 Cu
0.000 0.500 0.710 As
0.500 0.000 0.210 As
0.000 0.000 0.492 Au
0.000 0.500 0.270 Au
0.500 0.000 0.770 Au
0.500 0.500 0.992 Au
```



Question: What is the formula in the sixth record?
Answer: Cu2AsAu